Here is a relaxed LaTb3Pm5 crystal from Alexandria via LeMat-Bulk. Energies are from PBE.

a b c (Å): 17.8076 9.4390 7.3157
angles (deg): 90.00 90.00 90.00
Space group Cmcm (No. 63)
Unique sites:
La 0.0000 0.1946 0.2500 [4 per cell]
Tb 0.0000 0.5000 0.0000 [4 per cell]
Tb 0.1791 0.4993 0.2500 [8 per cell]
Pm 0.0000 0.1672 0.7500 [4 per cell]
Pm 0.1650 0.1766 0.9999 [16 per cell]

Values from the calculation:
Crystal system: orthorhombic
DOS(E_F): 1.473 states/eV per atom
Excess energy over the best structure of this formula in the dataset: 0 meV/atom

***

Here is a relaxed La2Tb6Pm5 crystal from Alexandria via LeMat-Bulk. Energies are from PBE.

a b c (Å): 11.8445 20.6954 3.6291
angles (deg): 90.00 90.00 90.00
Space group Pbam (No. 55)
Unique sites:
La 0.1724 0.2215 0.0000 [4 per cell]
Tb 0.0618 0.9255 0.0000 [4 per cell]
Tb 0.0739 0.6378 0.0000 [4 per cell]
Tb 0.1824 0.3757 0.5000 [4 per cell]
Pm 0.0000 0.5000 0.5000 [2 per cell]
Pm 0.0877 0.7827 0.5000 [4 per cell]
Pm 0.2010 0.0546 0.5000 [4 per cell]

Values from the calculation:
Crystal system: orthorhombic
DOS(E_F): 1.359 states/eV per atom

***

Here is a relaxed La2Tb3Pm2 crystal from Alexandria via LeMat-Bulk. Energies are from PBE.

a b c (Å): 6.3559 9.6220 8.2353
angles (deg): 90.00 105.84 90.00
Space group P2_1/c (No. 14)
Unique sites:
La 0.1666 0.1713 0.3819 [4 per cell]
Tb 0.0000 0.0000 0.0000 [2 per cell]
Tb 0.2684 0.6958 0.9246 [4 per cell]
Pm 0.4218 0.0126 0.7864 [4 per cell]

Values from the calculation:
Crystal system: monoclinic
DOS(E_F): 1.549 states/eV per atom
Excess energy over the best structure of this formula in the dataset: 0 meV/atom

***

Here is a relaxed La2TbPm3 crystal from Alexandria via LeMat-Bulk. Energies are from PBE.

a b c (Å): 9.2011 10.0672 9.2204
angles (deg): 90.00 101.64 90.00
Space group C2/c (No. 15)
Unique sites:
La 0.1255 0.2480 0.1243 [8 per cell]
Tb 0.0000 0.0832 0.7500 [4 per cell]
Pm 0.0000 0.4163 0.7500 [4 per cell]
Pm 0.2491 0.4168 0.5001 [8 per cell]

Values from the calculation:
Crystal system: monoclinic
DOS(E_F): 1.579 states/eV per atom
Excess energy over the best structure of this formula in the dataset: 0 meV/atom

***

Here is a relaxed La3Tb12Pm crystal from Alexandria via LeMat-Bulk. Energies are from PBE.

a b c (Å): 5.0971 5.0971 20.3722
angles (deg): 90.00 90.00 90.00
Space group P4/mmm (No. 123)
Unique sites:
La 0.0000 0.0000 0.0000 [1 per cell]
La 0.0000 0.0000 0.2502 [2 per cell]
Tb 0.0000 0.5000 0.1255 [4 per cell]
Tb 0.0000 0.5000 0.3767 [4 per cell]
Tb 0.5000 0.5000 0.0000 [1 per cell]
Tb 0.5000 0.5000 0.2514 [2 per cell]
Tb 0.5000 0.5000 0.5000 [1 per cell]
Pm 0.0000 0.0000 0.5000 [1 per cell]

Values from the calculation:
Crystal system: tetragonal
DOS(E_F): 1.533 states/eV per atom

***

Here is a relaxed La3Tb2Pm8 crystal from Alexandria via LeMat-Bulk. Energies are from PBE.

a b c (Å): 6.3398 8.2016 18.3006
angles (deg): 79.75 89.73 74.90
Space group P-1 (No. 2)
Unique sites:
La 0.0000 0.0000 0.0000 [1 per cell]
La 0.0373 0.3864 0.2693 [2 per cell]
La 0.1156 0.1536 0.8072 [2 per cell]
La 0.5000 0.0000 0.5000 [1 per cell]
Tb 0.1530 0.5374 0.0759 [2 per cell]
Tb 0.2317 0.3082 0.6150 [2 per cell]
Pm 0.0771 0.7671 0.5380 [2 per cell]
Pm 0.1925 0.9209 0.3470 [2 per cell]
Pm 0.2717 0.6895 0.8853 [2 per cell]
Pm 0.3071 0.0797 0.1534 [2 per cell]
Pm 0.3461 0.4633 0.4237 [2 per cell]
Pm 0.3852 0.8466 0.6918 [2 per cell]
Pm 0.4236 0.2339 0.9615 [2 per cell]
Pm 0.4599 0.6160 0.2307 [2 per cell]

Values from the calculation:
Crystal system: triclinic
DOS(E_F): 1.652 states/eV per atom
Excess energy over the best structure of this formula in the dataset: 0 meV/atom

***

Here is a relaxed La15Tb4Pm crystal from Alexandria via LeMat-Bulk. Energies are from PBE.

a b c (Å): 5.2202 5.2202 26.1236
angles (deg): 90.00 90.00 90.00
Space group P4/mmm (No. 123)
Unique sites:
La 0.0000 0.0000 0.0000 [1 per cell]
La 0.0000 0.0000 0.2005 [2 per cell]
La 0.0000 0.0000 0.4000 [2 per cell]
La 0.0000 0.5000 0.1007 [4 per cell]
La 0.0000 0.5000 0.3004 [4 per cell]
La 0.0000 0.5000 0.5000 [2 per cell]
Tb 0.5000 0.5000 0.2006 [2 per cell]
Tb 0.5000 0.5000 0.4001 [2 per cell]
Pm 0.5000 0.5000 0.0000 [1 per cell]

Values from the calculation:
Crystal system: tetragonal
DOS(E_F): 1.536 states/eV per atom

***

Here is a relaxed La2Tb3Pm7 crystal from Alexandria via LeMat-Bulk. Energies are from PBE.

a b c (Å): 6.4876 3.5898 17.8409
angles (deg): 90.00 96.09 90.00
Space group P2/m (No. 10)
Unique sites:
La 0.0593 0.0000 0.1700 [2 per cell]
Tb 0.4533 0.5000 0.8411 [2 per cell]
Tb 0.5000 0.0000 0.5000 [1 per cell]
Pm 0.0000 0.5000 0.5000 [1 per cell]
Pm 0.2288 0.0000 0.6673 [2 per cell]
Pm 0.2580 0.0000 0.9974 [2 per cell]
Pm 0.2771 0.5000 0.3364 [2 per cell]

Values from the calculation:
Crystal system: monoclinic
DOS(E_F): 1.611 states/eV per atom
Excess energy over the best structure of this formula in the dataset: 0 meV/atom

***

Here is a relaxed La4Tb5Pm crystal from Alexandria via LeMat-Bulk. Energies are from PBE.

a b c (Å): 10.7373 10.7373 5.9382
angles (deg): 90.00 90.00 90.00
Space group P4/nmm (No. 129, origin choice 2)
Unique sites:
La 0.0453 0.7500 0.1287 [8 per cell]
Tb 0.0894 0.0894 0.3452 [8 per cell]
Tb 0.2500 0.7500 0.5000 [2 per cell]
Pm 0.2500 0.2500 0.8789 [2 per cell]

Values from the calculation:
Crystal system: tetragonal
DOS(E_F): 1.240 states/eV per atom
Excess energy over the best structure of this formula in the dataset: 0 meV/atom

***

Here is a relaxed La5Tb2Pm12 crystal from Alexandria via LeMat-Bulk. Energies are from PBE.

a b c (Å): 18.2416 11.9212 6.2942
angles (deg): 90.00 103.00 90.00
Space group C2/m (No. 12)
Unique sites:
La 0.0000 0.0000 0.0000 [2 per cell]
La 0.1741 0.5000 0.3522 [4 per cell]
La 0.2139 0.0000 0.0531 [4 per cell]
Tb 0.0000 0.2266 0.5000 [4 per cell]
Pm 0.0517 0.5000 0.7745 [4 per cell]
Pm 0.1017 0.2554 0.1167 [8 per cell]
Pm 0.1217 0.0000 0.4956 [4 per cell]
Pm 0.1978 0.2534 0.6998 [8 per cell]

Values from the calculation:
Crystal system: monoclinic
DOS(E_F): 1.588 states/eV per atom
Excess energy over the best structure of this formula in the dataset: 0 meV/atom

***

Here is a relaxed La3Tb3Pm5 crystal from Alexandria via LeMat-Bulk. Energies are from PBE.

a b c (Å): 9.6735 9.6735 5.6821
angles (deg): 90.00 90.00 120.00
Space group P-62m (No. 189)
Unique sites:
La 0.0000 0.6084 0.0000 [3 per cell]
Tb 0.0000 0.7561 0.5000 [3 per cell]
Pm 0.0000 0.3819 0.5000 [3 per cell]
Pm 0.3333 0.6667 0.5000 [2 per cell]

Values from the calculation:
Crystal system: hexagonal
DOS(E_F): 1.979 states/eV per atom

***

Here is a relaxed La2Tb12Pm crystal from Alexandria via LeMat-Bulk. Energies are from PBE.

a b c (Å): 6.4807 6.4807 25.1642
angles (deg): 90.00 90.00 90.00
Space group P4/nbm (No. 125, origin choice 2)
Unique sites:
La 0.2500 0.7500 0.2306 [4 per cell]
Tb 0.0637 0.5637 0.3838 [8 per cell]
Tb 0.0816 0.5816 0.9397 [8 per cell]
Tb 0.2500 0.2500 0.1596 [4 per cell]
Tb 0.2500 0.2500 0.2842 [4 per cell]
Pm 0.2500 0.7500 0.5000 [2 per cell]

Values from the calculation:
Crystal system: tetragonal
DOS(E_F): 1.505 states/eV per atom

***

Here is a relaxed La8Tb6Pm crystal from Alexandria via LeMat-Bulk. Energies are from PBE.

a b c (Å): 9.5151 9.5151 6.6908
angles (deg): 90.00 90.00 120.00
Space group P-3 (No. 147)
Unique sites:
La 0.0441 0.7512 0.1690 [6 per cell]
La 0.3333 0.6667 0.1204 [2 per cell]
Tb 0.0976 0.6589 0.6542 [6 per cell]
Pm 0.0000 0.0000 0.5000 [1 per cell]

Values from the calculation:
Crystal system: trigonal
DOS(E_F): 1.790 states/eV per atom

***

Here is a relaxed La8Tb4Pm crystal from Alexandria via LeMat-Bulk. Energies are from PBE.

a b c (Å): 11.9265 11.9265 11.9045
angles (deg): 90.00 90.00 120.00
Space group R-3m (No. 166, hexagonal axes)
Unique sites:
La 0.0000 0.0000 0.2416 [6 per cell]
La 0.0022 0.5011 0.6716 [18 per cell]
Tb 0.0000 0.0000 0.0000 [3 per cell]
Tb 0.0000 0.5000 0.0000 [9 per cell]
Pm 0.0000 0.0000 0.5000 [3 per cell]

Values from the calculation:
Crystal system: trigonal
DOS(E_F): 2.192 states/eV per atom

***

Here is a relaxed La6TbPm12 crystal from Alexandria via LeMat-Bulk. Energies are from PBE.

a b c (Å): 12.3713 12.3713 15.2702
angles (deg): 90.00 90.00 120.00
Space group R-3 (No. 148, hexagonal axes)
Unique sites:
La 0.0124 0.5922 0.1854 [18 per cell]
Tb 0.0000 0.0000 0.5000 [3 per cell]
Pm 0.0020 0.8309 0.3102 [18 per cell]
Pm 0.0500 0.1959 0.9166 [18 per cell]

Values from the calculation:
Crystal system: trigonal
DOS(E_F): 1.618 states/eV per atom
Excess energy over the best structure of this formula in the dataset: 0 meV/atom

***

Here is a relaxed La3Tb4Pm8 crystal from Alexandria via LeMat-Bulk. Energies are from PBE.

a b c (Å): 14.0783 12.2796 6.9529
angles (deg): 90.00 119.24 90.00
Space group C2/m (No. 12)
Unique sites:
La 0.0000 0.0000 0.0000 [2 per cell]
La 0.2500 0.2500 0.0000 [4 per cell]
Tb 0.0000 0.5000 0.0000 [2 per cell]
Tb 0.0000 0.5000 0.5000 [2 per cell]
Tb 0.2500 0.2500 0.5000 [4 per cell]
Pm 0.0000 0.2047 0.5000 [4 per cell]
Pm 0.0000 0.2518 0.0000 [4 per cell]
Pm 0.2057 0.0000 0.7074 [4 per cell]
Pm 0.2480 0.5000 0.7383 [4 per cell]

Values from the calculation:
Crystal system: monoclinic
DOS(E_F): 1.753 states/eV per atom

***

Number 1: energy of formation 0.128 eV/atom, energy -0.3383 Ry per atom. Number 2: energy of formation 0.093 eV/atom, energy -0.3403 Ry per atom. Number 3: energy of formation 0.122 eV/atom, energy -0.3401 Ry per atom. Number 4: energy of formation 0.052 eV/atom, energy -0.3482 Ry per atom. Number 5: energy of formation 0.024 eV/atom, energy -0.3432 Ry per atom. Number 6: energy of formation 0.018 eV/atom, energy -0.3495 Ry per atom. Number 7: energy of formation 0.010 eV/atom, energy -0.3564 Ry per atom. Number 8: energy of formation 0.068 eV/atom, energy -0.3441 Ry per atom. Number 9: energy of formation 0.179 eV/atom, energy -0.3368 Ry per atom. Number 10: energy of formation 0.096 eV/atom, energy -0.3446 Ry per atom. Number 11: energy of formation 0.708 eV/atom, energy -0.2982 Ry per atom. Number 12: energy of formation 0.311 eV/atom, energy -0.3210 Ry per atom. Number 13: energy of formation 0.165 eV/atom, energy -0.3404 Ry per atom. Number 14: energy of formation 0.386 eV/atom, energy -0.3261 Ry per atom. Number 15: energy of formation 0.121 eV/atom, energy -0.3439 Ry per atom. Number 16: energy of formation 0.323 eV/atom, energy -0.3257 Ry per atom.